Compound: Nd9Y4Cd11
Source: the Alexandria database
Functional: PBE-GGA
Structure: relaxed

## Properties
* mass density: 7.036 g/cm³
* electronic total energy: -3.53 eV per atom
* density of states at the Fermi level: 51.060 states/eV per cell
* size of the total moment: 1.08 Bohr magnetons per cell

abc: 16.149 23.472 3.599
angles: 90.00 90.00 90.00
Space group Cmmm (No. 65)
One atom of each set of equivalent atoms:
Nd1 0.000 0.000 0.000 [2 per cell]
Nd2 0.112 0.239 0.000 [8 per cell]
Nd3 0.122 0.414 0.000 [8 per cell]
Y1 0.156 0.091 0.000 [8 per cell]
Cd1 0.000 0.134 0.500 [4 per cell]
Cd2 0.000 0.331 0.500 [4 per cell]
Cd3 0.000 0.500 0.500 [2 per cell]
Cd4 0.236 0.320 0.500 [8 per cell]
Cd5 0.249 0.500 0.500 [4 per cell]